Record 1
Computed, not measured: HfInFeW after structural relaxation at the PBE-GGA level of DFT.

Output
Offset from the most stable computed form: 0.0 meV/atom
Space-group type: F-43m, No. 216

```
HfInFeW
1.0
1.931 -4.144 -0.341
-1.985 -3.624 1.986
-1.964 -3.239 -2.583
In Fe Hf W
1 1 1 1
Cartesian
0.000 0.000 0.000
-1.514 -8.255 -0.703
-1.009 -5.503 -0.469
-0.505 -2.752 -0.234
```

=====

Record 2
Computed, not measured: GdAgTe3Pb after structural relaxation at the PBE-GGA level of DFT.

Output
Offset from the most stable computed form: 0.0 meV/atom
Space-group type: Pnma, No. 62

```
GdAgTe3Pb
1.0
14.712 0.000 0.000
0.000 4.366 0.000
0.000 0.000 11.723
Ag Te Pb Gd
4 12 4 4
Cartesian
0.110 1.091 4.838
7.466 1.091 1.023
7.246 3.274 10.700
14.602 3.274 6.885
5.160 3.274 8.764
1.631 3.274 11.023
12.926 3.274 4.458
9.142 1.091 10.319
1.786 1.091 7.265
9.552 1.091 2.959
13.081 1.091 0.700
5.570 3.274 1.404
5.725 1.091 5.162
2.196 1.091 2.903
12.516 3.274 8.820
8.987 3.274 6.561
4.130 1.091 11.086
3.226 3.274 5.225
11.486 1.091 6.498
10.583 3.274 0.637
7.218 1.091 7.923
0.138 3.274 2.061
14.574 1.091 9.662
7.494 3.274 3.800
```

=====

Record 3
Computed, not measured: Tb2YCd3AgAu2 after structural relaxation at the PBE-GGA level of DFT.

Output
Space-group type: Amm2, No. 38
DFT formation energy: -0.586 eV/atom

```
Tb2YCd3AgAu2
1.0
3.841 0.000 0.000
0.000 6.829 3.942
0.000 -6.829 3.942
Cd Au Tb Ag Y
3 2 2 1 1
Cartesian
1.920 0.000 2.071
1.920 -5.035 2.906
1.920 5.035 2.906
1.920 2.277 3.942
1.920 -2.277 3.942
0.000 -2.789 1.610
0.000 2.789 1.610
0.000 0.000 0.000
0.000 0.000 4.663
```

=====

Record 4
Computed, not measured: PrCuGe after structural relaxation at the PBE-GGA level of DFT.

Output
Space-group type: F-43m, No. 216
Electronic total energy: -4.234 eV per atom

```
PrCuGe
1.0
-2.689 -2.373 -3.187
-4.422 1.549 -1.034
-0.918 1.948 -4.288
Pr Cu Ge
1 1 1
Cartesian
0.000 0.000 0.000
-2.007 0.281 -2.127
-6.022 0.843 -6.381
```

=====

Record 5
Computed, not measured: Ta4NiN3 after structural relaxation at the PBE-GGA level of DFT.

Output
Space-group type: P6_3/mmc, No. 194
Electronic total energy: -10.412 eV per atom

```
Ta4NiN3
1.0
3.129 0.000 0.000
-1.564 2.710 0.000
0.000 0.000 22.678
N Ta Ni
6 8 2
Cartesian
1.564 0.903 8.750
1.564 0.903 2.589
0.000 1.806 20.089
0.000 1.806 13.928
0.000 0.000 11.339
0.000 0.000 0.000
0.000 0.000 7.593
1.564 0.903 12.691
0.000 0.000 3.745
0.000 1.806 9.987
0.000 1.806 1.352
1.564 0.903 21.325
0.000 0.000 15.084
0.000 0.000 18.932
1.564 0.903 17.008
0.000 1.806 5.669
```

=====

Record 6
Computed, not measured: NaCoSi after structural relaxation at the PBE-GGA level of DFT.

Output
Offset from the most stable computed form: 835.9 meV/atom
Space-group type: F-43m, No. 216

```
NaCoSi
1.0
0.000 3.037 3.037
3.037 0.000 3.037
3.037 3.037 0.000
Si Na Co
1 1 1
Cartesian
4.556 4.556 4.556
0.000 0.000 0.000
1.519 1.519 1.519
```